(1)
A relaxed Tb5Ho5Sc2 crystal. Source: the Alexandria database, functional PBE.

Lattice parameters (Å, degrees): 4.942 7.810 10.494 72.72 76.38 71.56
Element x y z (fractional)
Tb 0.500 0.500 0.500
Tb 0.333 0.335 0.000
Tb 0.419 0.912 0.250
Tb 0.581 0.088 0.750
Tb 0.667 0.665 0.000
Ho 0.835 0.830 0.500
Ho 0.253 0.746 0.748
Ho 0.747 0.254 0.252
Ho 0.165 0.170 0.500
Ho 0.000 0.000 0.000
Sc 0.916 0.417 0.751
Sc 0.084 0.583 0.249



(2)
A relaxed Tb5Ho5Sc2 crystal. Source: the Alexandria database, functional PBE.

Lattice parameters (Å, degrees): 5.506 6.503 11.789 106.60 90.00 115.04
Element x y z (fractional)
Tb 0.500 0.000 0.500
Tb 0.707 0.414 0.047
Tb 0.536 0.073 0.214
Tb 0.464 0.927 0.786
Tb 0.293 0.586 0.953
Ho 0.203 0.406 0.545
Ho 0.751 0.503 0.748
Ho 0.249 0.497 0.252
Ho 0.797 0.594 0.455
Ho 0.000 0.000 0.000
Sc 0.038 0.077 0.710
Sc 0.962 0.923 0.290



Which one sits at the bottom of the stability order? (2) does.